# 1
Material: BaI3N
Method: DFT, PBE-GGA
State: relaxed

Cell and atoms, written as POSCAR:
```
BaI3N
1.0
5.318 0.000 0.000
0.000 5.318 0.000
0.000 0.000 5.318
N I Ba
1 3 1
direct
0.000 0.000 0.000
0.000 0.000 0.500
0.000 0.500 0.000
0.500 0.000 0.000
0.500 0.500 0.500
```

Properties
* crystal system: cubic
* energy relative to the elements, uncorrected: -0.150 eV/atom
* Fermi-level density of states: 1.13 states/eV/f.u.
* energy: -0.230 Ry/atom


# 2
Material: Eu2ScAu
Method: DFT, PBE-GGA
State: relaxed

Cell and atoms, written as POSCAR:
```
Eu2ScAu
1.0
-3.435 -1.022 0.087
-1.183 -2.504 -2.276
0.986 -9.040 6.609
Sc Eu Au
1 2 1
direct
0.000 0.000 0.000
0.098 0.098 0.707
0.902 0.902 0.293
0.500 0.500 0.500
```

Properties
* crystal system: trigonal
* calculated formation energy: 0.2 eV/f.u.
* Fermi-level density of states: 5.00 states/eV/f.u.
* energy: -0.551 Ry/atom


# 3
Material: Ta2CdNi
Method: DFT, PBE-GGA
State: relaxed

Cell and atoms, written as POSCAR:
```
Ta2CdNi
1.0
5.039 0.022 0.000
-1.864 4.681 0.000
0.000 0.000 2.842
Ni Cd Ta
1 1 2
direct
0.000 0.500 0.500
0.500 0.000 0.500
0.500 0.500 0.000
0.000 0.000 0.000
```

Properties
* crystal system: orthorhombic
* calculated formation energy: 1.0 eV/f.u.
* Fermi-level density of states: 3.20 states/eV/f.u.
* energy: -0.540 Ry/atom


# 4
Material: NpC4
Method: DFT, PBE-GGA
State: relaxed

Cell and atoms, written as POSCAR:
```
NpC4
1.0
-0.369 1.387 -3.876
-0.085 -3.893 -1.385
-4.116 -0.044 0.377
C Np
4 1
direct
0.500 0.000 0.500
0.000 0.500 0.500
0.500 0.500 0.000
0.000 0.000 0.000
0.500 0.500 0.500
```

Properties
* crystal system: cubic
* calculated formation energy: 15.9 eV/f.u.
* Fermi-level density of states: 5.15 states/eV/f.u.
* energy: -0.498 Ry/atom


# 5
Material: PmZnAgIr
Method: DFT, PBE-GGA
State: relaxed

Cell and atoms, written as POSCAR:
```
PmZnAgIr
1.0
4.797 0.000 0.000
2.399 4.155 0.000
2.399 1.385 3.917
Zn Pm Ir Ag
1 1 1 1
direct
0.000 0.000 0.000
0.500 0.500 0.500
0.750 0.750 0.750
0.250 0.250 0.250
```

Properties
* crystal system: cubic
* calculated formation energy: -0.9 eV/f.u.
* Fermi-level density of states: 1.76 states/eV/f.u.
* energy: -0.342 Ry/atom


# 6
Material: InReRh3
Method: DFT, PBE-GGA
State: relaxed

Cell and atoms, written as POSCAR:
```
InReRh3
1.0
-2.866 3.581 1.157
-1.490 0.256 -4.482
-3.456 -3.080 0.973
Rh In Re
3 1 1
direct
0.000 0.500 0.000
0.500 0.000 0.000
0.000 0.000 0.500
0.500 0.500 0.500
0.000 0.000 0.000
```

Properties
* crystal system: cubic
* calculated formation energy: 4.8 eV/f.u.
* Fermi-level density of states: 5.02 states/eV/f.u.
* energy: -0.477 Ry/atom


# 7
Material: La4Nd5Sm3
Method: DFT, PBE-GGA
State: relaxed

Cell and atoms, written as POSCAR:
```
La4Nd5Sm3
1.0
6.127 0.000 0.000
3.063 7.776 -2.896
3.063 -0.809 9.428
La Nd Sm
4 5 3
direct
0.836 0.949 0.378
0.856 0.228 0.061
0.144 0.772 0.939
0.164 0.051 0.622
0.374 0.052 0.200
0.781 0.547 0.890
0.219 0.453 0.110
0.500 0.500 0.500
0.626 0.948 0.800
0.000 0.500 0.500
0.517 0.692 0.275
0.483 0.308 0.725
```

Properties
* crystal system: monoclinic
* calculated formation energy: 2.3 eV/f.u.
* Fermi-level density of states: 20.93 states/eV/f.u.
* energy: -0.340 Ry/atom


# 8
Material: Hg3PbCl
Method: DFT, PBE-GGA
State: relaxed

Cell and atoms, written as POSCAR:
```
Hg3PbCl
1.0
-0.590 -1.513 5.377
-4.660 -2.847 -1.313
3.079 -4.599 -0.956
Hg Pb Cl
3 1 1
direct
0.500 0.000 0.000
0.000 0.000 0.500
0.000 0.500 0.000
0.500 0.500 0.500
0.000 0.000 0.000
```

Properties
* crystal system: cubic
* energy relative to the elements, uncorrected: 0.320 eV/atom
* Fermi-level density of states: 4.02 states/eV/f.u.
* energy: -0.071 Ry/atom